Entry from the Alexandria database: a relaxed structure of PaTiFe2O6 (PBE+U).

The structure in POSCAR format:
```
PaTiFe2O6
1.0
-4.140 -2.427 -2.519
0.606 -4.990 -1.982
-2.704 -4.283 2.736
Pa Ti Fe O
1 1 2 6
direct
0.820 0.815 0.551
0.320 0.316 0.048
0.513 0.520 0.435
0.025 0.019 0.936
0.590 0.226 0.248
0.221 0.947 0.249
0.939 0.594 0.251
0.412 0.701 0.761
0.706 0.114 0.767
0.116 0.410 0.769
```

Computed properties:
Final energy ... -8.306 eV/atom
Magnetic moment ... 7.0 μB per cell
Space group ... No. 1